1.
# HoTa (PBE, optimized geometry)
# * size of the total moment: 0.1 Bohr magnetons per cell
# * energy: -6.695 eV per atom
# * calculated density: 11.26 Mg/m³
data_HoTa
_chemical_formula_sum 'Ho4 Ta4'
_cell_length_a 5.887
_cell_length_b 5.887
_cell_length_c 5.887
_cell_angle_alpha 90.00
_cell_angle_beta 90.00
_cell_angle_gamma 90.00
_symmetry_space_group_name_H-M 'F m -3 m'
_symmetry_Int_Tables_number 225
_symmetry_space_group_name_Hall '-F 4 2 3'
loop_
_atom_site_label
_atom_site_fract_x
_atom_site_fract_y
_atom_site_fract_z
Ho1 0.000 0.000 0.000
Ta1 0.000 0.000 0.500

***

2.
# CdNiGePd (PBE, optimized geometry)
# * size of the total moment: 0.0 Bohr magnetons per cell
# * energy: -4.210 eV per atom
# * calculated density: 9.28 Mg/m³
data_CdNiGePd
_chemical_formula_sum 'Cd4 Ni4 Ge4 Pd4'
_cell_length_a 6.304
_cell_length_b 6.304
_cell_length_c 6.304
_cell_angle_alpha 90.00
_cell_angle_beta 90.00
_cell_angle_gamma 90.00
_symmetry_space_group_name_H-M 'F -4 3 m'
_symmetry_Int_Tables_number 216
_symmetry_space_group_name_Hall 'F -4 2 3'
loop_
_atom_site_label
_atom_site_fract_x
_atom_site_fract_y
_atom_site_fract_z
Cd1 0.000 0.000 0.000
Ni1 0.250 0.250 0.750
Ge1 0.000 0.000 0.500
Pd1 0.250 0.250 0.250

***

3.
# PrSmSiCl2 (PBE, optimized geometry)
# * size of the total moment: 0.0 Bohr magnetons per cell
# * energy: -5.283 eV per atom
# * calculated density: 4.29 Mg/m³
data_PrSmSiCl2
_chemical_formula_sum 'Pr1 Sm1 Si1 Cl2'
_cell_length_a 4.2130
_cell_length_b 4.2130
_cell_length_c 9.8337
_cell_angle_alpha 90.00
_cell_angle_beta 90.00
_cell_angle_gamma 120.00
_symmetry_space_group_name_H-M 'P 3 m 1'
_symmetry_Int_Tables_number 156
_symmetry_space_group_name_Hall 'P 3 -2"'
loop_
_atom_site_label
_atom_site_fract_x
_atom_site_fract_y
_atom_site_fract_z
Pr1 0.0000 0.0000 0.0000
Sm1 0.3333 0.6667 0.6581
Si1 0.6667 0.3333 0.8259
Cl1 0.0000 0.0000 0.5018
Cl2 0.3333 0.6667 0.1636

***

4.
# IrC (PBE, optimized geometry)
# * size of the total moment: 0.0 Bohr magnetons per cell
# * energy: -8.499 eV per atom
# * calculated density: 13.66 Mg/m³
data_IrC
_chemical_formula_sum 'Ir4 C4'
_cell_length_a 4.631
_cell_length_b 4.631
_cell_length_c 4.631
_cell_angle_alpha 90.00
_cell_angle_beta 90.00
_cell_angle_gamma 90.00
_symmetry_space_group_name_H-M 'F -4 3 m'
_symmetry_Int_Tables_number 216
_symmetry_space_group_name_Hall 'F -4 2 3'
loop_
_atom_site_label
_atom_site_fract_x
_atom_site_fract_y
_atom_site_fract_z
Ir1 0.000 0.000 0.000
C1 0.250 0.250 0.250

***

5.
# PmGaPO (PBE, optimized geometry)
# * size of the total moment: 0.0 Bohr magnetons per cell
# * energy: -6.011 eV per atom
# * calculated density: 6.42 Mg/m³
data_PmGaPO
_chemical_formula_sum 'Pm2 Ga2 P2 O2'
_cell_length_a 4.502
_cell_length_b 4.508
_cell_length_c 6.672
_cell_angle_alpha 90.00
_cell_angle_beta 90.00
_cell_angle_gamma 90.00
_symmetry_space_group_name_H-M 'P m c 21'
_symmetry_Int_Tables_number 26
_symmetry_space_group_name_Hall 'P 2c -2'
loop_
_atom_site_label
_atom_site_fract_x
_atom_site_fract_y
_atom_site_fract_z
Pm1 0.000 0.185 0.000
Ga1 0.500 0.327 0.343
P1 0.500 0.173 0.695
O1 0.000 0.323 0.347

***

6.
# SrCdNiS3 (PBE, optimized geometry)
# * size of the total moment: 8.0 Bohr magnetons per cell
# * energy: -4.271 eV per atom
# * calculated density: 4.59 Mg/m³
data_SrCdNiS3
_chemical_formula_sum 'Sr4 Cd4 Ni4 S12'
_cell_length_a 3.934
_cell_length_b 12.595
_cell_length_c 10.354
_cell_angle_alpha 90.00
_cell_angle_beta 90.00
_cell_angle_gamma 90.00
_symmetry_space_group_name_H-M 'C m c m'
_symmetry_Int_Tables_number 63
_symmetry_space_group_name_Hall '-C 2c 2'
loop_
_atom_site_label
_atom_site_fract_x
_atom_site_fract_y
_atom_site_fract_z
Sr1 0.000 0.247 0.250
Cd1 0.000 0.000 0.000
Ni1 0.000 0.475 0.750
S1 0.000 0.068 0.750
S2 0.000 0.364 0.575